Here is a relaxed structure of Pa12Ge6Ir from Alexandria via LeMat-Bulk. Energies are from PBE.

Cell: 7.5620 7.5620 7.5620 Å, 93.95 93.95 93.95°
Last column: nearest neighbours and their distance in Å.
Element x y z (fractional)
Pa 0.0336 0.9352 0.3053  4 Pa 2.92-3.13, 4 Ge 2.93-3.09
Pa 0.0648 0.6947 0.9664  4 Pa 2.92-3.13, 4 Ge 2.93-3.09
Pa 0.1254 0.4620 0.3618  2 Pa 2.92-2.97, 1 Ir 2.94, 5 Ge 3.03-3.23
Pa 0.3053 0.0336 0.9352  4 Pa 2.92-3.13, 4 Ge 2.93-3.09
Pa 0.3618 0.1254 0.4620  2 Pa 2.92-2.97, 1 Ir 2.94, 5 Ge 3.03-3.23
Pa 0.4620 0.3618 0.1254  2 Pa 2.92-2.97, 1 Ir 2.94, 5 Ge 3.03-3.23
Pa 0.5380 0.6382 0.8746  2 Pa 2.92-2.97, 1 Ir 2.94, 5 Ge 3.03-3.23
Pa 0.6382 0.8746 0.5380  2 Pa 2.92-2.97, 1 Ir 2.94, 5 Ge 3.03-3.23
Pa 0.6947 0.9664 0.0648  4 Pa 2.92-3.13, 4 Ge 2.93-3.09
Pa 0.8746 0.5380 0.6382  2 Pa 2.92-2.97, 1 Ir 2.94, 5 Ge 3.03-3.23
Pa 0.9352 0.3053 0.0336  4 Pa 2.92-3.13, 4 Ge 2.93-3.09
Pa 0.9664 0.0648 0.6947  4 Pa 2.92-3.13, 4 Ge 2.93-3.09
Ge 0.2194 0.3772 0.7684  9 Pa 2.93-3.23, 1 Ir 3.17
Ge 0.2316 0.7806 0.6228  9 Pa 2.93-3.23, 1 Ir 3.17
Ge 0.3772 0.7684 0.2194  9 Pa 2.93-3.23, 1 Ir 3.17
Ge 0.6228 0.2316 0.7806  9 Pa 2.93-3.23, 1 Ir 3.17
Ge 0.7684 0.2194 0.3772  9 Pa 2.93-3.23, 1 Ir 3.17
Ge 0.7806 0.6228 0.2316  9 Pa 2.93-3.23, 1 Ir 3.17
Ir 0.5000 0.5000 0.5000  6 Pa 2.94, 6 Ge 3.17

Results
Total magnetization = 0.00 μB/cell
Space group = R-3 (148)
E_tot = -8.12 eV/atom
E_form = -19.0 kJ/mol of atoms